# 1
SnPd12Au3 | GGA-PBE | relaxed

Cell: 4.027 4.027 15.911 Å, 90.00 90.00 90.00°
Positions (direct):
1 Sn 0.000 0.000 0.000
2 Pd 0.000 0.500 0.124
3 Pd 0.000 0.500 0.375
4 Pd 0.000 0.500 0.625
5 Pd 0.000 0.500 0.876
6 Pd 0.500 0.000 0.124
7 Pd 0.500 0.000 0.375
8 Pd 0.500 0.000 0.625
9 Pd 0.500 0.000 0.876
10 Pd 0.500 0.500 0.000
11 Pd 0.500 0.500 0.251
12 Pd 0.500 0.500 0.500
13 Pd 0.500 0.500 0.749
14 Au 0.000 0.000 0.250
15 Au 0.000 0.000 0.500
16 Au 0.000 0.000 0.750

Computed properties:
Space-group type   P4/mmm
Total magnetization   0.0000 μB per atom
Formation enthalpy at 0 K   -0.16 eV/atom



# 2
NdDyCd17 | GGA-PBE | relaxed

Cell: 7.668 7.668 7.668 Å, 82.06 82.06 82.06°
Positions (direct):
1 Nd 0.000 0.000 0.000
2 Dy 0.343 0.343 0.343
3 Cd 0.045 0.045 0.462
4 Cd 0.045 0.462 0.045
5 Cd 0.144 0.690 0.690
6 Cd 0.322 0.322 0.794
7 Cd 0.322 0.794 0.322
8 Cd 0.367 0.666 0.973
9 Cd 0.367 0.973 0.666
10 Cd 0.462 0.045 0.045
11 Cd 0.564 0.564 0.564
12 Cd 0.666 0.367 0.973
13 Cd 0.666 0.973 0.367
14 Cd 0.690 0.144 0.690
15 Cd 0.690 0.690 0.144
16 Cd 0.761 0.761 0.761
17 Cd 0.794 0.322 0.322
18 Cd 0.973 0.367 0.666
19 Cd 0.973 0.666 0.367

Computed properties:
Space-group type   R3m
Total magnetization   0.0000 μB per atom
Formation enthalpy at 0 K   -0.13 eV/atom



# 3
La2AlGe4Pt3 | GGA-PBE | relaxed

Cell: 4.315 4.315 10.679 Å, 90.00 90.00 90.00°
Positions (direct):
1 La 0.000 0.500 0.245
2 La 0.500 0.000 0.755
3 Al 0.000 0.000 0.500
4 Ge 0.000 0.000 0.000
5 Ge 0.000 0.500 0.640
6 Ge 0.500 0.000 0.360
7 Ge 0.500 0.500 0.000
8 Pt 0.000 0.500 0.874
9 Pt 0.500 0.000 0.126
10 Pt 0.500 0.500 0.500

Computed properties:
Space-group type   P-4m2
Total magnetization   0.0000 μB per atom
Formation enthalpy at 0 K   -0.92 eV/atom



# 4
FeNiW2 | GGA-PBE | relaxed

Cell: 3.787 3.787 3.720 Å, 90.00 90.00 90.00°
Positions (direct):
1 Fe 0.000 0.000 0.000
2 Ni 0.500 0.500 0.000
3 W 0.000 0.500 0.500
4 W 0.500 0.000 0.500

Computed properties:
Polymorph energy (0 for the lowest one)   0 meV per atom
Space-group type   P4/mmm
Total magnetization   0.0002 μB per atom
Formation enthalpy at 0 K   0.08 eV/atom



# 5
Fe2AgMo | GGA-PBE | relaxed

Cell: 4.611 4.611 5.002 Å, 96.23 96.23 33.02°
Positions (direct):
1 Fe 0.248 0.248 0.263
2 Fe 0.752 0.752 0.737
3 Ag 0.500 0.500 0.000
4 Mo 0.000 0.000 0.500

Computed properties:
Polymorph energy (0 for the lowest one)   166 meV per atom
Space-group type   C2/m
Total magnetization   1.1664 μB per atom
Formation enthalpy at 0 K   0.45 eV/atom



# 6
TcAgMo2 | GGA-PBE | relaxed

Cell: 5.774 5.774 5.774 Å, 102.65 102.65 124.20°
Positions (direct):
1 Tc 0.000 0.000 0.000
2 Tc 0.750 0.250 0.500
3 Ag 0.250 0.750 0.500
4 Ag 0.500 0.500 0.000
5 Mo 0.086 0.125 0.461
6 Mo 0.375 0.914 0.039
7 Mo 0.664 0.625 0.539
8 Mo 0.875 0.336 0.961

Computed properties:
Polymorph energy (0 for the lowest one)   590 meV per atom
Space-group type   I-42d
Total magnetization   0.0000 μB per atom
Formation enthalpy at 0 K   0.86 eV/atom



# 7
PuPbF2 | GGA-PBE | relaxed

Cell: 9.787 9.787 9.787 Å, 20.09 20.09 20.09°
Positions (direct):
1 Pu 0.000 0.000 0.000
2 Pb 0.500 0.500 0.500
3 F 0.384 0.384 0.384
4 F 0.616 0.616 0.616

Computed properties:
Raw formation energy   -2042 meV per atom
Space-group type   R-3m
Total magnetization   1.5232 μB per atom



# 8
SrU2FeN4 | GGA-PBE | relaxed

Cell: 6.077 6.077 11.337 Å, 90.00 90.00 146.72°
Positions (direct):
1 Sr 0.098 0.902 0.750
2 Sr 0.902 0.098 0.250
3 U 0.369 0.631 0.558
4 U 0.369 0.631 0.942
5 U 0.631 0.369 0.058
6 U 0.631 0.369 0.442
7 Fe 0.169 0.831 0.250
8 Fe 0.831 0.169 0.750
9 N 0.000 0.000 0.000
10 N 0.000 0.000 0.500
11 N 0.260 0.740 0.104
12 N 0.260 0.740 0.396
13 N 0.427 0.573 0.750
14 N 0.573 0.427 0.250
15 N 0.740 0.260 0.604
16 N 0.740 0.260 0.896

Computed properties:
Raw formation energy   -1093 meV per atom
Space-group type   Cmcm
Total magnetization   0.0009 μB per atom



# 9
Cs2CeGeSe4 | GGA-PBE | relaxed

Cell: 9.088 9.088 9.088 Å, 120.75 118.72 90.47°
Positions (direct):
1 Cs 0.000 0.000 0.000
2 Cs 0.500 0.000 0.000
3 Cs 0.500 0.000 0.500
4 Cs 0.500 0.500 0.500
5 Ce 0.000 0.000 0.500
6 Ce 0.000 0.500 0.000
7 Ge 0.000 0.500 0.500
8 Ge 0.500 0.500 0.000
9 Se 0.182 0.729 0.453
10 Se 0.223 0.265 0.542
11 Se 0.223 0.681 0.958
12 Se 0.224 0.271 0.953
13 Se 0.776 0.729 0.047
14 Se 0.777 0.319 0.042
15 Se 0.777 0.735 0.458
16 Se 0.818 0.271 0.547

Computed properties:
Raw formation energy   -1095 meV per atom
Space-group type   Imma
Total magnetization   0.0000 μB per atom



# 10
MnTlSnTe3 | GGA-PBE | relaxed

Cell: 9.697 4.269 10.199 Å, 90.00 103.89 90.00°
Positions (direct):
1 Mn 0.075 0.250 0.103
2 Mn 0.925 0.750 0.897
3 Tl 0.188 0.250 0.725
4 Tl 0.812 0.750 0.275
5 Sn 0.339 0.750 0.377
6 Sn 0.661 0.250 0.623
7 Te 0.105 0.250 0.371
8 Te 0.212 0.750 0.022
9 Te 0.453 0.750 0.677
10 Te 0.547 0.250 0.323
11 Te 0.788 0.250 0.978
12 Te 0.895 0.750 0.629

Computed properties:
Raw formation energy   -188 meV per atom
Space-group type   P2_1/m
Total magnetization   0.7837 μB per atom